Compound: ZnCrO4
Source: the Alexandria database
Functional: PBE+U
Structure: optimized geometry

Output
- final energy (eV per atom) = -6.017
- energy above the lowest structure with this stoichiometry (eV per atom) = 0.0000
- total magnetization (μB/f.u.) = 0.000

Structure (CIF):
```
data_ZnCrO4
_chemical_formula_sum 'Zn4 Cr4 O16'
_cell_length_a 5.5758
_cell_length_b 8.4739
_cell_length_c 6.4248
_cell_angle_alpha 90.00
_cell_angle_beta 90.00
_cell_angle_gamma 90.00
_symmetry_space_group_name_H-M 'C m c m'
_symmetry_Int_Tables_number 63
_symmetry_space_group_name_Hall '-C 2c 2'
loop_
_atom_site_label
_atom_site_type_symbol
_atom_site_fract_x
_atom_site_fract_y
_atom_site_fract_z
Zn1 Zn 0.0000 0.0000 0.0000
Cr1 Cr 0.0000 0.3571 0.2500
O1 O 0.0000 0.2446 0.0434
O2 O 0.2468 0.0287 0.7500
```